[1]
PmSc2Ni: optimized geometry, PBE-GGA.

a = 6.074 Å, b = 6.603 Å, c = 9.212 Å
α = 90.00°, β = 90.00°, γ = 90.00°
Sites, in units of the cell vectors:
1 Ni 0.917 0.610 0.750
2 Sc 0.677 0.828 0.565
3 Pm 0.634 0.519 0.250
4 Pm 0.134 0.981 0.750
5 Ni 0.583 0.110 0.750
6 Ni 0.417 0.890 0.250
7 Pm 0.366 0.481 0.750
8 Sc 0.177 0.672 0.065
9 Sc 0.323 0.172 0.065
10 Ni 0.083 0.390 0.250
11 Sc 0.677 0.828 0.935
12 Sc 0.823 0.328 0.935
13 Pm 0.866 0.019 0.250
14 Sc 0.177 0.672 0.435
15 Sc 0.323 0.172 0.435
16 Sc 0.823 0.328 0.565

Output
Total magnetization = 0.00 μB per formula unit
Mass density = 5.28 g cm⁻³
E above lowest polymorph = 0.0021 eV/atom
Final energy = -6.025 eV/atom

---

[2]
Zr3NbCo: optimized geometry, PBE-GGA.

a = 4.790 Å, b = 4.790 Å, c = 4.790 Å
α = 90.00°, β = 90.00°, γ = 90.00°
Sites, in units of the cell vectors:
1 Nb 0.500 0.500 0.500
2 Zr 0.000 0.000 0.500
3 Co 0.000 0.000 0.000
4 Zr 0.500 0.000 0.000
5 Zr 0.000 0.500 0.000

Output
Total magnetization = 0.00 μB per formula unit
Mass density = 6.43 g cm⁻³
E above lowest polymorph = 0.0000 eV/atom
Final energy = -8.161 eV/atom

---

[3]
InHCl3: optimized geometry, PBE-GGA.

a = 4.495 Å, b = 4.495 Å, c = 4.495 Å
α = 90.00°, β = 90.00°, γ = 90.00°
Sites, in units of the cell vectors:
1 In 0.500 0.500 0.500
2 H 0.000 0.000 0.000
3 Cl 0.000 0.500 0.000
4 Cl 0.000 0.000 0.500
5 Cl 0.500 0.000 0.000

Output
Total magnetization = 0.00 μB per formula unit
Mass density = 4.06 g cm⁻³
E above lowest polymorph = 0.4223 eV/atom
Final energy = -2.298 eV/atom

---

[4]
LiTmNpN3: optimized geometry, PBE-GGA.

a = 3.460 Å, b = 7.871 Å, c = 5.899 Å
α = 90.05°, β = 90.00°, γ = 90.00°
Each line ends with the local moment (μB).
Sites, in units of the cell vectors:
1 Li 0.250 0.985 0.727  0.00
2 N 0.750 0.501 0.259  -0.11
3 N 0.250 0.810 0.431  -0.11
4 Li 0.750 0.015 0.273  0.00
5 N 0.250 0.499 0.741  -0.11
6 Tm 0.750 0.312 0.924  0.03
7 N 0.250 0.189 0.117  -0.09
8 Np 0.750 0.679 0.580  2.22
9 Np 0.250 0.321 0.420  2.22
10 Tm 0.250 0.688 0.076  0.03
11 N 0.750 0.190 0.569  -0.11
12 N 0.750 0.811 0.883  -0.09

Output
Total magnetization = 2.00 μB per formula unit
Mass density = 9.40 g cm⁻³
Final energy = -8.564 eV/atom
Formation energy without anion corrections = -1.18 eV per atom

---

[5]
SrIr2: optimized geometry, PBE-GGA.

a = 6.049 Å, b = 6.049 Å, c = 7.632 Å
α = 67.82°, β = 67.82°, γ = 27.62°
Sites, in units of the cell vectors:
1 Ir 0.542 0.542 0.304
2 Ir 0.840 0.840 0.511
3 Sr 0.849 0.849 0.111
4 Ir 0.160 0.160 0.489
5 Sr 0.151 0.151 0.889
6 Ir 0.458 0.458 0.696

Output
Total magnetization = 0.00 μB per formula unit
Mass density = 13.14 g cm⁻³
Final energy = -6.244 eV/atom

---

[6]
TbHo3Te4: optimized geometry, PBE-GGA.

a = 4.287 Å, b = 7.556 Å, c = 7.556 Å
α = 108.80°, β = 90.00°, γ = 90.00°
Sites, in units of the cell vectors:
1 Ho 0.500 0.500 0.500
2 Te 0.500 0.251 0.749
3 Tb 0.500 0.000 0.000
4 Te 0.000 0.252 0.252
5 Ho 0.000 0.000 0.500
6 Te 0.500 0.749 0.251
7 Ho 0.000 0.500 0.000
8 Te 0.000 0.748 0.748

Output
Total magnetization = 0.00 μB per formula unit
Mass density = 8.34 g cm⁻³
Final energy = -5.126 eV/atom
Formation energy without anion corrections = -1.26 eV per atom

---

[7]
Na2In15Pb2: optimized geometry, PBE-GGA.

a = 8.735 Å, b = 8.735 Å, c = 8.735 Å
α = 67.57°, β = 67.57°, γ = 67.57°
Sites, in units of the cell vectors:
1 Pb 0.899 0.899 0.899
2 In 0.000 0.310 0.690
3 In 0.827 0.408 0.408
4 Na 0.712 0.712 0.712
5 Na 0.288 0.288 0.288
6 In 0.000 0.000 0.500
7 In 0.173 0.592 0.592
8 In 0.592 0.592 0.173
9 In 0.408 0.827 0.408
10 In 0.310 0.000 0.690
11 Pb 0.101 0.101 0.101
12 In 0.000 0.690 0.310
13 In 0.592 0.173 0.592
14 In 0.500 0.000 0.000
15 In 0.690 0.310 0.000
16 In 0.310 0.690 0.000
17 In 0.408 0.408 0.827
18 In 0.690 0.000 0.310
19 In 0.000 0.500 0.000

Output
Total magnetization = 0.00 μB per formula unit
Mass density = 6.62 g cm⁻³
Final energy = -2.675 eV/atom

---

[8]
MgTl2Ga: optimized geometry, PBE-GGA.

a = 3.445 Å, b = 3.445 Å, c = 10.165 Å
α = 80.24°, β = 80.24°, γ = 60.00°
Sites, in units of the cell vectors:
1 Mg 0.500 0.500 0.500
2 Tl 0.251 0.251 0.248
3 Tl 0.083 0.083 0.752
4 Ga 0.667 0.667 0.000

Output
Total magnetization = 0.00 μB per formula unit
Mass density = 8.15 g cm⁻³
E above lowest polymorph = 0.0285 eV/atom
Final energy = -2.272 eV/atom

---

[9]
LiAc3Sm4Se8: optimized geometry, PBE-GGA.

a = 8.524 Å, b = 8.606 Å, c = 8.524 Å
α = 119.68°, β = 120.00°, γ = 90.00°
Sites, in units of the cell vectors:
1 Se 0.247 0.760 0.494
2 Se 0.757 0.770 0.513
3 Sm 0.500 0.000 0.500
4 Se 0.766 0.760 0.013
5 Se 0.243 0.230 0.487
6 Se 0.234 0.240 0.987
7 Li 0.000 0.500 0.000
8 Se 0.753 0.240 0.987
9 Ac 0.000 0.500 0.500
10 Se 0.247 0.760 0.013
11 Ac 0.500 0.500 0.500
12 Sm 0.000 0.000 0.500
13 Sm 0.000 0.000 0.000
14 Sm 0.500 0.000 0.000
15 Se 0.753 0.240 0.506
16 Ac 0.500 0.500 0.000

Output
Total magnetization = 0.00 μB per formula unit
Mass density = 7.18 g cm⁻³
Final energy = -5.598 eV/atom
Formation energy without anion corrections = -1.79 eV per atom

---

[10]
NaCuIr: optimized geometry, PBE-GGA.

a = 6.708 Å, b = 6.708 Å, c = 6.206 Å
α = 90.00°, β = 90.00°, γ = 90.00°
Sites, in units of the cell vectors:
1 Ir 0.352 0.648 0.250
2 Ir 0.852 0.852 0.500
3 Na 0.761 0.239 0.250
4 Cu 0.106 0.894 0.250
5 Na 0.261 0.261 0.500
6 Na 0.739 0.739 0.000
7 Cu 0.894 0.106 0.750
8 Cu 0.394 0.394 0.000
9 Na 0.239 0.761 0.750
10 Ir 0.648 0.352 0.750
11 Ir 0.148 0.148 0.000
12 Cu 0.606 0.606 0.500

Output
Total magnetization = 0.00 μB per formula unit
Mass density = 6.63 g cm⁻³
Final energy = -3.901 eV/atom

---

[11]
Cu2TcAu: optimized geometry, PBE-GGA.

a = 4.328 Å, b = 4.328 Å, c = 4.328 Å
α = 60.00°, β = 60.00°, γ = 60.00°
Each line ends with the local moment (μB).
Sites, in units of the cell vectors:
1 Cu 0.250 0.250 0.250  0.13
2 Au 0.500 0.500 0.500  0.04
3 Cu 0.750 0.750 0.750  0.13
4 Tc 0.000 0.000 0.000  1.83

Output
Total magnetization = 2.18 μB per formula unit
Mass density = 12.22 g cm⁻³
E above lowest polymorph = 0.1674 eV/atom
Final energy = -5.128 eV/atom

---

[12]
AlCr2As: optimized geometry, PBE-GGA.

a = 4.258 Å, b = 4.258 Å, c = 4.258 Å
α = 60.00°, β = 60.00°, γ = 60.00°
Each line ends with the local moment (μB).
Sites, in units of the cell vectors:
1 Al 0.000 0.000 0.000  -0.03
2 Cr 0.750 0.750 0.750  1.83
3 Cr 0.250 0.250 0.250  1.83
4 As 0.500 0.500 0.500  -0.07

Output
Total magnetization = 3.85 μB per formula unit
Mass density = 6.26 g cm⁻³
E above lowest polymorph = 0.2127 eV/atom
Final energy = -6.752 eV/atom

---

Number 1: V 23.1 A^3/atom. Number 2: V 22.0 A^3/atom. Number 3: V 18.2 A^3/atom. Number 4: V 13.4 A^3/atom. Number 5: V 19.9 A^3/atom. Number 6: V 29.0 A^3/atom. Number 7: V 28.8 A^3/atom. Number 8: V 25.6 A^3/atom. Number 9: V 27.8 A^3/atom. Number 10: V 23.3 A^3/atom. Number 11: V 14.3 A^3/atom. Number 12: V 13.7 A^3/atom.